Computed, not measured: a geometry-optimized SiPN2 structure at the GGA-PBE level of DFT.

abc: 4.719 2.770 7.395
angles: 90.00 103.30 90.00
Sites, in units of the cell vectors:
Si 0.356 0.500 0.255
P 0.092 0.000 0.989
N 0.591 0.000 0.305
N 0.850 0.500 0.948
N 0.850 0.000 0.448
P 0.092 0.500 0.489
N 0.591 0.500 0.805
Si 0.356 0.000 0.755

Space-group type: Cm (8)
ΔE_f (raw) (eV/atom): 0.2519
DOS(E_F) (states/eV/cell): 0.66
E_tot (eV per cell): -52.952
Energy relative to the lowest polymorph listed for this composition (meV per atom): 548